Ho6Ga3C: optimized geometry, PBE.

Its total energy is -4.982 eV/atom. The size of the total moment comes out at 0.0 μB/cell.

The structure belongs to space group P2_1/c (No. 14); the cell edges are 6.384, 7.812 and 11.266 Å and the angles 90.00°, 119.79° and 90.00°. The inequivalent atoms are Ho at (0.084, 0.046, 0.230), Ho at (0.182, 0.709, 0.060), Ho at (0.382, 0.153, 0.059), Ga at (0.319, 0.116, 0.746), Ga at (0.500, 0.000, 0.500) and C at (0.000, 0.000, 0.000).

***

HoGaOs2C: optimized geometry, PBE.

Its total energy is -8.107 eV/atom. The size of the total moment comes out at 0.0 μB/cell.

The structure belongs to space group Cmcm (No. 63); the cell edges are 3.978, 11.010 and 7.313 Å and the angles 90.00°, 90.00° and 90.00°. The inequivalent atoms are Ho at (0.000, 0.047, 0.250), Ga at (0.000, 0.234, 0.750), Os at (0.000, 0.334, 0.061) and C at (0.000, 0.500, 0.000).

***

Ho4GaPbC: optimized geometry, PBE.

Its total energy is -5.357 eV/atom. The size of the total moment comes out at 0.0 μB/cell.

The structure belongs to space group Cmcm (No. 63); the cell edges are 6.770, 15.448 and 6.771 Å and the angles 90.00°, 90.00° and 90.00°. The inequivalent atoms are Ho at (0.000, 0.083, 0.250), Ho at (0.000, 0.409, 0.250), Ho at (0.250, 0.250, 0.000), Ga at (0.000, 0.118, 0.750), Pb at (0.000, 0.391, 0.750) and C at (0.000, 0.248, 0.250).

***

PmHo2GaC: optimized geometry, PBE.

Its total energy is -5.633 eV/atom. The size of the total moment comes out at 0.0 μB/cell.

The structure belongs to space group P4/mmm (No. 123); the cell edges are 4.841, 4.841 and 5.026 Å and the angles 90.00°, 90.00° and 90.00°. The inequivalent atoms are Pm at (0.000, 0.000, 0.000), Ho at (0.000, 0.500, 0.500), Ga at (0.500, 0.500, 0.000) and C at (0.000, 0.000, 0.500).

***

Ho3Ga2Ru3C: optimized geometry, PBE.

Its total energy is -6.621 eV/atom. The size of the total moment comes out at 0.0 μB/cell.

The structure belongs to space group P-62m (No. 189); the cell edges are 7.2105, 7.2105 and 3.4278 Å and the angles 90.00°, 90.00° and 120.00°. The inequivalent atoms are Ho at (0.0000, 0.3658, 0.0000), Ga at (0.3333, 0.6667, 0.5000), Ru at (0.0000, 0.7772, 0.5000) and C at (0.0000, 0.0000, 0.0000).

***

HoGa2Ru2C: optimized geometry, PBE.

Its total energy is -6.790 eV/atom. The size of the total moment comes out at 0.0 μB/cell.

The structure belongs to space group P4/mmm (No. 123); the cell edges are 4.094, 4.094 and 5.541 Å and the angles 90.00°, 90.00° and 90.00°. The inequivalent atoms are Ho at (0.000, 0.000, 0.000), Ga at (0.500, 0.500, 0.218), Ru at (0.000, 0.500, 0.500) and C at (0.000, 0.000, 0.500).

***

HoGaRu2C: optimized geometry, PBE.

Its total energy is -7.454 eV/atom. The size of the total moment comes out at 0.0 μB/cell.

The structure belongs to space group Cmcm (No. 63); the cell edges are 3.885, 11.140 and 7.330 Å and the angles 90.00°, 90.00° and 90.00°. The inequivalent atoms are Ho at (0.000, 0.045, 0.250), Ga at (0.000, 0.233, 0.750), Ru at (0.000, 0.338, 0.057) and C at (0.000, 0.500, 0.000).

***

Ho8Ga3CS3: optimized geometry, PBE.

The calculation puts the formation energy from raw total energies at -1.05 eV/atom. The size of the total moment comes out at 0.0 μB/cell.

The structure belongs to space group C2/m (No. 12); the cell edges are 13.185, 7.605 and 8.399 Å and the angles 90.00°, 121.59° and 90.00°. The inequivalent atoms are Ho at (0.006, 0.226, 0.291), Ho at (0.220, 0.000, 0.708), Ho at (0.243, 0.500, 0.730), Ga at (0.000, 0.000, 0.000), Ga at (0.250, 0.250, 0.000), C at (0.000, 0.000, 0.500), S at (0.000, 0.500, 0.500) and S at (0.250, 0.250, 0.500).